1.
The following is a DFT calculation (PBE-GGA) of a relaxed structure of PrPu2PaN4.

a = 6.1098 Å, b = 3.5479 Å, c = 6.1619 Å
α = 90.00°, β = 109.55°, γ = 90.00°
Last column: nearest neighbours and their distance in Å.
Positions (direct):
Pr1 0.0000 0.0000 0.0000  6 N 2.58-2.60
Pu1 0.5000 0.0000 0.5000  6 N 2.42-2.43
Pu2 0.5000 0.5000 0.0000  6 N 2.58-2.60
Pa1 0.0000 0.5000 0.5000  6 N 2.42-2.43
N1 0.2421 0.0000 0.7273  2 Pa 2.43, 3 Pu 2.43-2.58, 1 Pr 2.58
N2 0.2598 0.5000 0.2776  3 Pu 2.42-2.60, 1 Pa 2.42, 2 Pr 2.60
N3 0.7402 0.5000 0.7224  3 Pu 2.42-2.60, 1 Pa 2.42, 2 Pr 2.60
N4 0.7579 0.0000 0.2727  2 Pa 2.43, 3 Pu 2.43-2.58, 1 Pr 2.58

Output
SG   P2/m
Calculated volume   126 Å³/cell
Formation energy (no corrections)   -1372.6 meV per atom

2.
The following is a DFT calculation (PBE-GGA) of a relaxed structure of Pr2PuPaN4.

a = 6.1840 Å, b = 3.5785 Å, c = 6.2492 Å
α = 90.00°, β = 109.63°, γ = 90.00°
Last column: nearest neighbours and their distance in Å.
Positions (direct):
Pr1 0.0000 0.0000 0.0000  6 N 2.68-2.70
Pr2 0.5000 0.5000 0.0000  6 N 2.61-2.64
Pu1 0.0000 0.5000 0.5000  6 N 2.44-2.48
Pa1 0.5000 0.0000 0.5000  6 N 2.39
N1 0.2450 0.0000 0.7152  1 Pa 2.39, 2 Pu 2.44, 2 Pr 2.64
N2 0.2728 0.5000 0.2850  2 Pa 2.39, 1 Pu 2.48, 1 Pr 2.61
N3 0.7272 0.5000 0.7150  2 Pa 2.39, 1 Pu 2.48, 1 Pr 2.61
N4 0.7550 0.0000 0.2848  1 Pa 2.39, 2 Pu 2.44, 2 Pr 2.64

Output
SG   P2/m
Calculated volume   130 Å³/cell
Formation energy (no corrections)   -1431.5 meV per atom

3.
The following is a DFT calculation (PBE-GGA) of a relaxed structure of Pr4PuPa3N8.

a = 7.1975 Å, b = 7.1975 Å, c = 7.1975 Å
α = 59.66°, β = 59.66°, γ = 59.66°
Last column: nearest neighbours and their distance in Å.
Positions (direct):
Pr1 0.0000 0.0000 0.0000  6 N 2.63
Pr2 0.0000 0.5000 0.5000  6 N 2.69-2.71
Pr3 0.5000 0.0000 0.5000  6 N 2.69-2.71
Pr4 0.5000 0.5000 0.0000  6 N 2.69-2.71
Pu1 0.5000 0.5000 0.5000  6 N 2.47
Pa1 0.0000 0.0000 0.5000  6 N 2.38-2.40
Pa2 0.0000 0.5000 0.0000  6 N 2.38-2.40
Pa3 0.5000 0.0000 0.0000  6 N 2.38-2.40
N1 0.2260 0.7424 0.7424  2 Pa 2.38, 1 Pu 2.47, 1 Pr 2.63
N2 0.2358 0.2358 0.2358  3 Pa 2.40
N3 0.2576 0.2576 0.7740  2 Pa 2.38, 1 Pu 2.47, 1 Pr 2.63
N4 0.2576 0.7740 0.2576  2 Pa 2.38, 1 Pu 2.47, 1 Pr 2.63
N5 0.7424 0.2260 0.7424  2 Pa 2.38, 1 Pu 2.47, 1 Pr 2.63
N6 0.7424 0.7424 0.2260  2 Pa 2.38, 1 Pu 2.47, 1 Pr 2.63
N7 0.7642 0.7642 0.7642  3 Pa 2.40
N8 0.7740 0.2576 0.2576  2 Pa 2.38, 1 Pu 2.47, 1 Pr 2.63

Output
SG   R-3m
Calculated volume   262 Å³/cell
Formation energy (no corrections)   -1496.8 meV per atom

4.
The following is a DFT calculation (PBE-GGA) of a relaxed structure of PrPuPaN4.

a = 7.6116 Å, b = 7.6116 Å, c = 7.6116 Å
α = 150.21°, β = 150.21°, γ = 42.63°
Last column: nearest neighbours and their distance in Å.
Positions (direct):
Pr1 0.0000 0.0000 0.0000  1 N 2.17
Pu1 0.6650 0.6650 0.0000  4 N 2.09
Pa1 0.3202 0.3202 0.0000  5 N 2.24-2.45
N1 0.2160 0.7160 0.5000  2 Pu 2.09
N2 0.4784 0.4784 0.0000  1 Pa 2.24
N3 0.7160 0.2160 0.5000  2 Pu 2.09
N4 0.8469 0.8469 0.0000  1 Pr 2.17

Output
SG   I4mm
Calculated volume   109 Å³/cell
Formation energy (no corrections)   -1110.4 meV per atom

5.
The following is a DFT calculation (PBE-GGA) of a relaxed structure of Pr2PuPaN6.

a = 5.9183 Å, b = 6.0444 Å, c = 10.2971 Å
α = 90.00°, β = 124.85°, γ = 90.00°
Last column: nearest neighbours and their distance in Å.
Positions (direct):
Pr1 0.2382 0.0443 0.2507  5 N 2.48-2.74
Pr2 0.2382 0.4557 0.7507  5 N 2.48-2.74
Pr3 0.7618 0.5443 0.2493  5 N 2.48-2.74
Pr4 0.7618 0.9557 0.7493  5 N 2.48-2.74
Pu1 0.0000 0.0000 0.5000  6 N 2.06-2.19
Pu2 0.0000 0.5000 0.0000  6 N 2.06-2.19
Pa1 0.5000 0.0000 0.0000  6 N 2.21-2.31
Pa2 0.5000 0.5000 0.5000  6 N 2.21-2.31
N1 0.1482 0.2113 0.9411  1 Pu 2.19, 1 Pa 2.21
N2 0.1482 0.2887 0.4411  1 Pu 2.19, 1 Pa 2.21
N3 0.2241 0.6951 0.9488  1 Pu 2.06
N4 0.2241 0.8049 0.4488  1 Pu 2.06
N5 0.3402 0.0358 0.7388  1 Pu 2.12, 1 Pa 2.30
N6 0.3402 0.4642 0.2388  1 Pu 2.12, 1 Pa 2.30
N7 0.6598 0.5358 0.7612  1 Pu 2.12, 1 Pa 2.30
N8 0.6598 0.9642 0.2612  1 Pu 2.12, 1 Pa 2.30
N9 0.7759 0.1951 0.5512  1 Pu 2.06
N10 0.7759 0.3049 0.0512  1 Pu 2.06
N11 0.8518 0.7113 0.5589  1 Pu 2.19, 1 Pa 2.21
N12 0.8518 0.7887 0.0589  1 Pu 2.19, 1 Pa 2.21

Output
SG   P2_1/c
Calculated volume   302 Å³/cell
Formation energy (no corrections)   -1240.5 meV per atom

6.
The following is a DFT calculation (PBE-GGA) of a relaxed structure of Pr2PaReN5.

a = 3.8855 Å, b = 3.8855 Å, c = 8.6602 Å
α = 90.00°, β = 90.00°, γ = 90.00°
Last column: nearest neighbours and their distance in Å.
Positions (direct):
Pr1 0.0000 0.0000 0.2071  9 N 2.54-2.78
Pr2 0.0000 0.0000 0.7929  9 N 2.54-2.78
Pa1 0.5000 0.5000 0.5000  2 N 2.09
Re1 0.5000 0.5000 0.0000  4 N 1.94
N1 0.0000 0.0000 0.5000  2 Pr 2.54, 4 Pa 2.75
N2 0.0000 0.5000 0.0000  2 Re 1.94
N3 0.5000 0.0000 0.0000  2 Re 1.94
N4 0.5000 0.5000 0.2588  1 Pa 2.09, 1 Re 2.24
N5 0.5000 0.5000 0.7412  1 Pa 2.09, 1 Re 2.24

Output
SG   P4/mmm
Calculated volume   131 Å³/cell
Formation energy (no corrections)   -1122.4 meV per atom

7.
The following is a DFT calculation (PBE-GGA) of a relaxed structure of PrPaRhN4.

a = 6.7025 Å, b = 6.7025 Å, c = 6.7025 Å
α = 146.06°, β = 146.06°, γ = 48.76°
Last column: nearest neighbours and their distance in Å.
Positions (direct):
Pr1 0.0000 0.0000 0.0000  1 N 2.26
Pa1 0.7171 0.7171 0.0000  1 N 2.15
Rh1 0.3576 0.3576 0.0000  5 N 1.98-2.11
N1 0.1849 0.1849 0.0000  1 Rh 2.11, 1 Pr 2.26
N2 0.3330 0.8330 0.5000  2 Rh 1.98
N3 0.5407 0.5407 0.0000  1 Pa 2.15, 1 Rh 2.24
N4 0.8330 0.3330 0.5000  2 Rh 1.98

Output
SG   I4mm
Calculated volume   93 Å³/cell
Formation energy (no corrections)   -724.8 meV per atom

8.
The following is a DFT calculation (PBE-GGA) of a relaxed structure of PrPaS2N.

a = 3.9261 Å, b = 3.9261 Å, c = 13.7611 Å
α = 90.00°, β = 90.00°, γ = 90.00°
Last column: nearest neighbours and their distance in Å.
Positions (direct):
Pr1 0.2500 0.2500 0.1077  6 S 2.78-3.00
Pr2 0.7500 0.7500 0.8923  6 S 2.78-3.00
Pa1 0.2500 0.2500 0.5871  4 N 2.30
Pa2 0.7500 0.7500 0.4128  4 N 2.30
S1 0.2500 0.2500 0.3179  1 Pr 2.89, 4 Pa 3.07, 4 N 3.18
S2 0.2500 0.2500 0.8900  5 Pr 2.78-3.00
S3 0.7500 0.7500 0.1100  5 Pr 2.78-3.00
S4 0.7500 0.7500 0.6821  1 Pr 2.89, 4 Pa 3.07, 4 N 3.18
N1 0.2500 0.7500 0.5000  4 Pa 2.30
N2 0.7500 0.2500 0.5000  4 Pa 2.30

Output
SG   P4/nmm
Calculated volume   212 Å³/cell
Formation energy (no corrections)   -1885.2 meV per atom

> Which value of calculated volume does entry 2 give?

130 Å³/cell